No. 1
Computed, not measured: a relaxed V6AsC2 crystal at the GGA-PBE level of DFT.

## Properties
M_tot: 0.0 μB/f.u.
DFT formation energy: -0.131 eV/atom
calculated volume: 12.98 A^3/atom
space group: C2/m (12)

Geometry as POSCAR:
```
V6AsC2
1.0
4.0676 0.0000 0.0000
2.0338 4.5691 -0.1100
2.0338 1.8106 6.2425
V As C
6 1 2
Direct
0.6794 0.7207 0.9205 V
0.3206 0.2793 0.0795 V
0.9921 0.8431 0.1726 V
0.3184 0.7917 0.5714 V
0.0079 0.1569 0.8274 V
0.6816 0.2083 0.4286 V
0.0000 0.5000 0.5000 As
0.1963 0.7119 0.8954 C
0.8037 0.2881 0.1046 C
```

***

No. 2
Computed, not measured: a relaxed TmHfPt2 crystal at the GGA-PBE level of DFT.

## Properties
M_tot: 0.0 μB/f.u.
DFT formation energy: -1.115 eV/atom
calculated volume: 20.11 A^3/atom
space group: R-3m (166)
distance to the lowest polymorph of the same formula: 55 meV per atom

Geometry as POSCAR:
```
TmHfPt2
1.0
4.6363 0.0000 0.0000
2.3182 4.0152 0.0000
2.3182 1.3384 4.3208
Tm Hf Pt
1 1 2
Direct
0.0000 0.0000 0.0000 Tm
0.5000 0.5000 0.5000 Hf
0.7758 0.7758 0.6725 Pt
0.2242 0.2242 0.3275 Pt
```

***

No. 3
Computed, not measured: a relaxed Pr6Pt5O crystal at the GGA-PBE level of DFT.

## Properties
M_tot: 0.0 μB/f.u.
raw formation energy: -1235 meV per atom
calculated volume: 25.34 A^3/atom
space group: C2/m (12)

Geometry as POSCAR:
```
Pr6Pt5O
1.0
-7.1350 1.1971 -0.1170
-3.2488 -4.9968 -4.1668
-2.3142 -6.1317 2.8115
Pr Pt O
6 5 1
Direct
0.7709 0.0745 0.3100 Pr
0.2291 0.6154 0.3100 Pr
0.2593 0.2400 0.0000 Pr
0.7407 0.7600 0.0000 Pr
0.7709 0.3846 0.6900 Pr
0.2291 0.9255 0.6900 Pr
0.5000 0.1773 0.6455 Pt
0.0000 0.3361 0.3278 Pt
0.5000 0.5000 0.0000 Pt
0.0000 0.6639 0.6722 Pt
0.5000 0.8227 0.3545 Pt
0.0000 0.0000 0.0000 O
```

***

No. 4
Computed, not measured: a relaxed TcP2BrO crystal at the GGA-PBE level of DFT.

## Properties
M_tot: 2.5 μB/f.u.
raw formation energy: 1397 meV per atom
calculated volume: 17.16 A^3/atom
space group: P4/mmm (123)
distance to the lowest polymorph of the same formula: 1401 meV per atom

Geometry as POSCAR:
```
TcP2BrO
1.0
4.8724 0.0000 0.0000
0.0000 4.8724 0.0000
0.0000 0.0000 3.6145
O P Tc Br
1 2 1 1
Direct
0.0000 0.0000 0.5000 O
0.0000 0.5000 0.0000 P
0.5000 0.0000 0.0000 P
0.5000 0.5000 0.5000 Tc
0.0000 0.0000 0.0000 Br
```

***

No. 5
Computed, not measured: a relaxed BeReIr crystal at the GGA-PBE level of DFT.

## Properties
M_tot: 0.0 μB/f.u.
DFT formation energy: -0.252 eV/atom
calculated volume: 12.48 A^3/atom
space group: P-1 (2)
distance to the lowest polymorph of the same formula: 65 meV per atom

Geometry as POSCAR:
```
BeReIr
1.0
5.0511 -0.0110 0.0103
-1.4913 5.4642 0.0055
0.7917 0.2158 2.7164
Be Ir Re
2 2 2
Direct
0.7699 0.4266 0.6109 Be
0.7914 0.9239 0.5990 Be
0.0792 0.7551 0.9564 Ir
0.4823 0.5958 0.2536 Ir
0.4594 0.0877 0.2656 Re
0.1020 0.2633 0.9444 Re
```

***

No. 6
Computed, not measured: a relaxed TcNiIr2 crystal at the GGA-PBE level of DFT.

## Properties
M_tot: 0.0 μB/f.u.
DFT formation energy: -0.075 eV/atom
calculated volume: 13.71 A^3/atom
space group: I4/mmm (139)
distance to the lowest polymorph of the same formula: 46 meV per atom

Geometry as POSCAR:
```
TcNiIr2
1.0
4.6471 0.0030 0.0000
1.5286 4.3885 0.0000
-3.0878 -2.1958 2.6906
Ni Ir Tc
1 2 1
Direct
0.2500 0.7500 0.5000 Ni
0.0000 0.0000 0.0000 Ir
0.5000 0.5000 0.0000 Ir
0.7500 0.2500 0.5000 Tc
```